(1)
Below is Pa2Ga5Tc after structural relaxation, with properties calculated at the GGA-PBE level.

Computed properties:
The value obtained for the formation energy is -178.5 meV/atom.

Lattice parameters (Å, degrees): 5.974 5.974 5.974 117.54 117.54 94.32
Atoms (fractional coordinates):
Pa: 0.000 0.500 0.500
Pa: 0.500 0.000 0.500
Ga: 0.492 0.492 0.000
Ga: 0.538 0.538 0.575
Ga: 0.538 0.963 0.000
Ga: 0.963 0.538 0.000
Ga: 0.963 0.963 0.425
Tc: 0.169 0.169 0.000

=====

(2)
Below is PaGa2Tc after structural relaxation, with properties calculated at the GGA-PBE level.

Computed properties:
The value obtained for the formation energy is -223.3 meV/atom.

Lattice parameters (Å, degrees): 4.668 4.668 4.668 60.00 60.00 60.00
Atoms (fractional coordinates):
Pa: 0.000 0.000 0.000
Ga: 0.250 0.250 0.250
Ga: 0.750 0.750 0.750
Tc: 0.500 0.500 0.500

=====

(3)
Below is Pa3GaTc2 after structural relaxation, with properties calculated at the GGA-PBE level.

Computed properties:
The value obtained for the formation energy is 55.0 meV/atom.

Lattice parameters (Å, degrees): 9.930 9.930 8.127 101.17 101.17 18.87
Atoms (fractional coordinates):
Pa: 0.072 0.072 0.276
Pa: 0.285 0.285 0.736
Pa: 0.426 0.426 0.059
Pa: 0.574 0.574 0.941
Pa: 0.715 0.715 0.264
Pa: 0.928 0.928 0.724
Ga: 0.353 0.353 0.424
Ga: 0.647 0.647 0.576
Tc: 0.050 0.050 0.660
Tc: 0.297 0.297 0.108
Tc: 0.703 0.703 0.892
Tc: 0.950 0.950 0.340

=====

(4)
Below is Pa2GaTc after structural relaxation, with properties calculated at the GGA-PBE level.

Computed properties:
The value obtained for the formation energy is -81.7 meV/atom.

Lattice parameters (Å, degrees): 4.928 4.928 4.928 60.00 60.00 60.00
Atoms (fractional coordinates):
Pa: 0.250 0.250 0.250
Pa: 0.750 0.750 0.750
Ga: 0.000 0.000 0.000
Tc: 0.500 0.500 0.500

=====

(5)
Below is PaGa2Tc2 after structural relaxation, with properties calculated at the GGA-PBE level.

Computed properties:
The value obtained for the formation energy is -271.0 meV/atom.

Lattice parameters (Å, degrees): 4.848 4.318 8.859 90.00 103.44 90.00
Atoms (fractional coordinates):
Pa: 0.153 0.250 0.272
Pa: 0.847 0.750 0.728
Ga: 0.315 0.250 0.648
Ga: 0.372 0.750 0.025
Ga: 0.628 0.250 0.975
Ga: 0.685 0.750 0.352
Tc: 0.081 0.250 0.882
Tc: 0.239 0.750 0.468
Tc: 0.761 0.250 0.532
Tc: 0.919 0.750 0.118

=====

(6)
Below is Pa4Ga5Tc2 after structural relaxation, with properties calculated at the GGA-PBE level.

Computed properties:
The value obtained for the formation energy is -292.5 meV/atom.

Lattice parameters (Å, degrees): 7.213 3.274 9.608 90.00 93.54 90.00
Atoms (fractional coordinates):
Pa: 0.156 0.000 0.379
Pa: 0.250 0.000 0.951
Pa: 0.750 0.000 0.049
Pa: 0.844 0.000 0.621
Ga: 0.207 0.500 0.666
Ga: 0.448 0.500 0.203
Ga: 0.500 0.500 0.500
Ga: 0.552 0.500 0.797
Ga: 0.793 0.500 0.334
Tc: 0.074 0.500 0.150
Tc: 0.926 0.500 0.850

=====

Number 4 is which compound?
Pa2GaTc